## NpNi2PbO8 (PBE with a Hubbard U)

Data for an optimized crystal structure of NpNi2PbO8.

Cell: 4.7031 4.7013 6.7265 Å, 89.98 89.98 91.26°
Closest atoms and distances in Å follow each position.
Atoms (fractional coordinates):
1 O 0.6841 0.6850 0.5000  2 Ni 2.07, 1 Pb 2.07
2 Ni 0.4999 0.4999 0.2507  6 O 2.01-2.14
3 O 0.2021 0.7968 0.2282  1 Ni 2.01, 1 Np 2.05
4 O 0.2022 0.7970 0.7718  1 Ni 2.01, 1 Np 2.05
5 Np 0.0000 0.0000 0.0000  6 O 1.97-2.05
6 O 0.7979 0.2032 0.7718  1 Ni 2.01, 1 Np 2.05
7 O 0.7978 0.2030 0.2282  1 Ni 2.01, 1 Np 2.05
8 O 0.3159 0.3150 0.5000  2 Ni 2.07, 1 Pb 2.07
9 Pb 0.0000 0.0000 0.5000  6 O 2.07-2.28
10 O 0.6994 0.7003 0.9999  1 Np 1.97, 2 Ni 2.14
11 Ni 0.5001 0.5001 0.7493  6 O 2.01-2.14
12 O 0.3006 0.2997 0.0001  1 Np 1.97, 2 Ni 2.14

Computed properties:
The calculation puts the final energy at -6.4954 eV per atom.